Record 1
# K4PrDy3Te8 (PBE, optimized geometry)
data_K4PrDy3Te8
_space_group_name_H-M_alt 'C 1 2/m 1'
_space_group_IT_number 12
_space_group_name_Hall '-C 2y'
_cell_length_a 15.709
_cell_length_b 9.069
_cell_length_c 9.775
_cell_angle_alpha 90.00
_cell_angle_beta 122.44
_cell_angle_gamma 90.00
loop_
_atom_site_label
_atom_site_type_symbol
_atom_site_fract_x
_atom_site_fract_y
_atom_site_fract_z
K1 K 0.000 0.000 0.000
K2 K 0.000 0.500 0.000
K3 K 0.250 0.250 0.000
Pr1 Pr 0.000 0.000 0.500
Dy1 Dy 0.000 0.500 0.500
Dy2 Dy 0.250 0.250 0.500
Te1 Te 0.015 0.256 0.289
Te2 Te 0.236 0.500 0.707
Te3 Te 0.241 0.000 0.711
# crystal system	monoclinic

=====

Record 2
# K2PrDyTe4 (PBE, optimized geometry)
data_K2PrDyTe4
_space_group_name_H-M_alt 'P 1 2/m 1'
_space_group_IT_number 10
_space_group_name_Hall '-P 2y'
_cell_length_a 7.922
_cell_length_b 4.572
_cell_length_c 8.663
_cell_angle_alpha 90.00
_cell_angle_beta 107.67
_cell_angle_gamma 90.00
loop_
_atom_site_label
_atom_site_type_symbol
_atom_site_fract_x
_atom_site_fract_y
_atom_site_fract_z
K1 K 0.000 0.000 0.000
K2 K 0.500 0.500 0.000
Pr1 Pr 0.000 0.500 0.500
Dy1 Dy 0.500 0.000 0.500
Te1 Te 0.246 0.000 0.714
Te2 Te 0.272 0.500 0.290
# crystal system	monoclinic

=====

Record 3
# K3Pr3DyTe8 (PBE, optimized geometry)
data_K3Pr3DyTe8
_space_group_name_H-M_alt 'C 1 2/m 1'
_space_group_IT_number 12
_space_group_name_Hall '-C 2y'
_cell_length_a 15.734
_cell_length_b 9.077
_cell_length_c 9.986
_cell_angle_alpha 90.00
_cell_angle_beta 121.70
_cell_angle_gamma 90.00
loop_
_atom_site_label
_atom_site_type_symbol
_atom_site_fract_x
_atom_site_fract_y
_atom_site_fract_z
K1 K 0.000 0.000 0.000
K2 K 0.250 0.250 0.000
Pr1 Pr 0.000 0.500 0.500
Pr2 Pr 0.250 0.250 0.500
Dy1 Dy 0.000 0.000 0.500
Te1 Te 0.011 0.244 0.290
Te2 Te 0.233 0.000 0.710
Te3 Te 0.239 0.500 0.717
# crystal system	monoclinic

=====

Record 4
# KDy2Pt9 (PBE, optimized geometry)
data_KDy2Pt9
_space_group_name_H-M_alt 'R -3 m'
_space_group_IT_number 166
_space_group_name_Hall '-R 3 2"'
_cell_length_a 5.4826
_cell_length_b 5.4826
_cell_length_c 26.2110
_cell_angle_alpha 90.00
_cell_angle_beta 90.00
_cell_angle_gamma 120.00
loop_
_atom_site_label
_atom_site_type_symbol
_atom_site_fract_x
_atom_site_fract_y
_atom_site_fract_z
K1 K 0.0000 0.0000 0.0000
Dy1 Dy 0.0000 0.0000 0.1382
Pt1 Pt 0.0000 0.0000 0.3319
Pt2 Pt 0.0000 0.0000 0.5000
Pt3 Pt 0.0052 0.5026 0.9142
# ΔE_f	-684.0	meV per atom
# crystal system	trigonal

=====

Record 5
# K3Dy2PuS6 (PBE, optimized geometry)
data_K3Dy2PuS6
_space_group_name_H-M_alt 'C 1 2/m 1'
_space_group_IT_number 12
_space_group_name_Hall '-C 2y'
_cell_length_a 7.075
_cell_length_b 12.254
_cell_length_c 7.717
_cell_angle_alpha 90.00
_cell_angle_beta 107.80
_cell_angle_gamma 90.00
loop_
_atom_site_label
_atom_site_type_symbol
_atom_site_fract_x
_atom_site_fract_y
_atom_site_fract_z
K1 K 0.000 0.000 0.000
K2 K 0.000 0.333 0.000
Dy1 Dy 0.000 0.167 0.500
Pu1 Pu 0.000 0.500 0.500
S1 S 0.230 0.000 0.702
S2 S 0.236 0.332 0.701
# crystal system	monoclinic

=====

Record 6
# K2Dy2PuS6 (PBE, optimized geometry)
data_K2Dy2PuS6
_space_group_name_H-M_alt 'C 1 2/m 1'
_space_group_IT_number 12
_space_group_name_Hall '-C 2y'
_cell_length_a 6.951
_cell_length_b 12.018
_cell_length_c 7.877
_cell_angle_alpha 90.00
_cell_angle_beta 107.27
_cell_angle_gamma 90.00
loop_
_atom_site_label
_atom_site_type_symbol
_atom_site_fract_x
_atom_site_fract_y
_atom_site_fract_z
K1 K 0.000 0.169 0.000
Dy1 Dy 0.000 0.334 0.500
Pu1 Pu 0.000 0.000 0.500
S1 S 0.228 0.165 0.695
S2 S 0.241 0.500 0.695
# crystal system	monoclinic

=====

Record 7
# K3DyPu2S6 (PBE, optimized geometry)
data_K3DyPu2S6
_space_group_name_H-M_alt 'C 1 2/m 1'
_space_group_IT_number 12
_space_group_name_Hall '-C 2y'
_cell_length_a 7.092
_cell_length_b 12.283
_cell_length_c 7.716
_cell_angle_alpha 90.00
_cell_angle_beta 107.84
_cell_angle_gamma 90.00
loop_
_atom_site_label
_atom_site_type_symbol
_atom_site_fract_x
_atom_site_fract_y
_atom_site_fract_z
K1 K 0.000 0.000 0.000
K2 K 0.000 0.333 0.000
Dy1 Dy 0.000 0.500 0.500
Pu1 Pu 0.000 0.167 0.500
S1 S 0.233 0.334 0.701
S2 S 0.235 0.000 0.701
# crystal system	monoclinic

=====

Record 8
# K3Dy2PuSe6 (PBE, optimized geometry)
data_K3Dy2PuSe6
_space_group_name_H-M_alt 'C 1 2/m 1'
_space_group_IT_number 12
_space_group_name_Hall '-C 2y'
_cell_length_a 7.358
_cell_length_b 12.744
_cell_length_c 8.043
_cell_angle_alpha 90.00
_cell_angle_beta 107.76
_cell_angle_gamma 90.00
loop_
_atom_site_label
_atom_site_type_symbol
_atom_site_fract_x
_atom_site_fract_y
_atom_site_fract_z
K1 K 0.000 0.000 0.000
K2 K 0.000 0.334 0.000
Dy1 Dy 0.000 0.167 0.500
Pu1 Pu 0.000 0.500 0.500
Se1 Se 0.231 0.000 0.705
Se2 Se 0.237 0.331 0.705
# crystal system	monoclinic

=====

Record 9
# K3DyPu2Se6 (PBE, optimized geometry)
data_K3DyPu2Se6
_space_group_name_H-M_alt 'C 1 2/m 1'
_space_group_IT_number 12
_space_group_name_Hall '-C 2y'
_cell_length_a 7.379
_cell_length_b 12.780
_cell_length_c 8.040
_cell_angle_alpha 90.00
_cell_angle_beta 107.82
_cell_angle_gamma 90.00
loop_
_atom_site_label
_atom_site_type_symbol
_atom_site_fract_x
_atom_site_fract_y
_atom_site_fract_z
K1 K 0.000 0.000 0.000
K2 K 0.000 0.333 0.000
Dy1 Dy 0.000 0.500 0.500
Pu1 Pu 0.000 0.167 0.500
Se1 Se 0.234 0.335 0.705
Se2 Se 0.237 0.000 0.705
# crystal system	monoclinic

=====

Record 10
# K3Dy3PuSe8 (PBE, optimized geometry)
data_K3Dy3PuSe8
_space_group_name_H-M_alt 'R -3 m'
_space_group_IT_number 166
_space_group_name_Hall '-R 3 2"'
_cell_length_a 8.3621
_cell_length_b 8.3621
_cell_length_c 23.3964
_cell_angle_alpha 90.00
_cell_angle_beta 90.00
_cell_angle_gamma 120.00
loop_
_atom_site_label
_atom_site_type_symbol
_atom_site_fract_x
_atom_site_fract_y
_atom_site_fract_z
K1 K 0.0000 0.5000 0.0000
Dy1 Dy 0.0000 0.5000 0.5000
Pu1 Pu 0.0000 0.0000 0.5000
Se1 Se 0.0000 0.0000 0.2348
Se2 Se 0.0033 0.5016 0.2333
# crystal system	trigonal

=====

Record 11
# K3DyPu3Se8 (PBE, optimized geometry)
data_K3DyPu3Se8
_space_group_name_H-M_alt 'C 1 2/m 1'
_space_group_IT_number 12
_space_group_name_Hall '-C 2y'
_cell_length_a 14.670
_cell_length_b 8.455
_cell_length_c 9.146
_cell_angle_alpha 90.00
_cell_angle_beta 122.22
_cell_angle_gamma 90.00
loop_
_atom_site_label
_atom_site_type_symbol
_atom_site_fract_x
_atom_site_fract_y
_atom_site_fract_z
K1 K 0.000 0.000 0.000
K2 K 0.250 0.250 0.000
Dy1 Dy 0.000 0.000 0.500
Pu1 Pu 0.000 0.500 0.500
Pu2 Pu 0.250 0.250 0.500
Se1 Se 0.016 0.249 0.299
Se2 Se 0.233 0.000 0.699
Se3 Se 0.235 0.500 0.704
# crystal system	monoclinic

=====

Record 12
# K2DyPuTe4 (PBE, optimized geometry)
data_K2DyPuTe4
_space_group_name_H-M_alt 'P 1 2/m 1'
_space_group_IT_number 10
_space_group_name_Hall '-P 2y'
_cell_length_a 7.873
_cell_length_b 4.538
_cell_length_c 8.616
_cell_angle_alpha 90.00
_cell_angle_beta 107.74
_cell_angle_gamma 90.00
loop_
_atom_site_label
_atom_site_type_symbol
_atom_site_fract_x
_atom_site_fract_y
_atom_site_fract_z
K1 K 0.000 0.000 0.000
K2 K 0.500 0.500 0.000
Dy1 Dy 0.000 0.500 0.500
Pu1 Pu 0.500 0.000 0.500
Te1 Te 0.232 0.000 0.709
Te2 Te 0.260 0.500 0.291
# crystal system	monoclinic

=====

Record 13
# K3Dy2PuTe6 (PBE, optimized geometry)
data_K3Dy2PuTe6
_space_group_name_H-M_alt 'C 1 2/m 1'
_space_group_IT_number 12
_space_group_name_Hall '-C 2y'
_cell_length_a 7.849
_cell_length_b 13.594
_cell_length_c 8.621
_cell_angle_alpha 90.00
_cell_angle_beta 107.68
_cell_angle_gamma 90.00
loop_
_atom_site_label
_atom_site_type_symbol
_atom_site_fract_x
_atom_site_fract_y
_atom_site_fract_z
K1 K 0.000 0.000 0.000
K2 K 0.000 0.334 0.000
Dy1 Dy 0.000 0.167 0.500
Pu1 Pu 0.000 0.500 0.500
Te1 Te 0.232 0.000 0.709
Te2 Te 0.238 0.331 0.709
# crystal system	monoclinic

=====

Record 14
# KDy3Pu2Te6 (PBE, optimized geometry)
data_KDy3Pu2Te6
_space_group_name_H-M_alt 'C 1 2/m 1'
_space_group_IT_number 12
_space_group_name_Hall '-C 2y'
_cell_length_a 19.549
_cell_length_b 4.397
_cell_length_c 9.053
_cell_angle_alpha 90.00
_cell_angle_beta 104.31
_cell_angle_gamma 90.00
loop_
_atom_site_label
_atom_site_type_symbol
_atom_site_fract_x
_atom_site_fract_y
_atom_site_fract_z
K1 K 0.000 0.000 0.000
Dy1 Dy 0.000 0.000 0.500
Dy2 Dy 0.165 0.500 0.829
Pu1 Pu 0.168 0.500 0.336
Te1 Te 0.001 0.500 0.734
Te2 Te 0.165 0.000 0.586
Te3 Te 0.173 0.000 0.081
# crystal system	monoclinic

=====

Record 15
# KDyPu2Te4 (PBE, optimized geometry)
data_KDyPu2Te4
_space_group_name_H-M_alt 'P 1 2/m 1'
_space_group_IT_number 10
_space_group_name_Hall '-P 2y'
_cell_length_a 7.801
_cell_length_b 4.471
_cell_length_c 7.920
_cell_angle_alpha 90.00
_cell_angle_beta 108.64
_cell_angle_gamma 90.00
loop_
_atom_site_label
_atom_site_type_symbol
_atom_site_fract_x
_atom_site_fract_y
_atom_site_fract_z
K1 K 0.000 0.000 0.000
Dy1 Dy 0.000 0.500 0.500
Pu1 Pu 0.500 0.000 0.500
Pu2 Pu 0.500 0.500 0.000
Te1 Te 0.250 0.000 0.738
Te2 Te 0.261 0.500 0.269
# crystal system	monoclinic

=====

Record 16
# KDyS2 (PBE, optimized geometry)
data_KDyS2
_space_group_name_H-M_alt 'R 3 m'
_space_group_IT_number 160
_space_group_name_Hall 'R 3 -2"'
_cell_length_a 4.0309
_cell_length_b 4.0309
_cell_length_c 22.5492
_cell_angle_alpha 90.00
_cell_angle_beta 90.00
_cell_angle_gamma 120.00
loop_
_atom_site_label
_atom_site_type_symbol
_atom_site_fract_x
_atom_site_fract_y
_atom_site_fract_z
K1 K 0.0000 0.0000 0.0000
Dy1 Dy 0.0000 0.0000 0.8304
S1 S 0.0000 0.0000 0.2304
S2 S 0.0000 0.0000 0.4304
# crystal system	trigonal

=====

Record 17
# KDyS2 (PBE, optimized geometry)
data_KDyS2
_space_group_name_H-M_alt 'R -3 m'
_space_group_IT_number 166
_space_group_name_Hall '-R 3 2"'
_cell_length_a 4.0540
_cell_length_b 4.0540
_cell_length_c 22.0987
_cell_angle_alpha 90.00
_cell_angle_beta 90.00
_cell_angle_gamma 120.00
loop_
_atom_site_label
_atom_site_type_symbol
_atom_site_fract_x
_atom_site_fract_y
_atom_site_fract_z
K1 K 0.0000 0.0000 0.0000
Dy1 Dy 0.0000 0.0000 0.5000
S1 S 0.0000 0.0000 0.2338
# crystal system	trigonal

=====

Record 18
# KDy4S6 (PBE, optimized geometry)
data_KDy4S6
_space_group_name_H-M_alt 'C m c m'
_space_group_IT_number 63
_space_group_name_Hall '-C 2c 2'
_cell_length_a 3.949
_cell_length_b 13.163
_cell_length_c 20.879
_cell_angle_alpha 90.00
_cell_angle_beta 90.00
_cell_angle_gamma 90.00
loop_
_atom_site_label
_atom_site_type_symbol
_atom_site_fract_x
_atom_site_fract_y
_atom_site_fract_z
K1 K 0.000 0.151 0.250
Dy1 Dy 0.000 0.100 0.634
Dy2 Dy 0.000 0.369 0.542
S1 S 0.000 0.000 0.000
S2 S 0.000 0.167 0.750
S3 S 0.000 0.272 0.079
S4 S 0.000 0.465 0.653
# crystal system	orthorhombic

=====

Record 19
# KDy6S8 (PBE, optimized geometry)
data_KDy6S8
_space_group_name_H-M_alt 'R -3'
_space_group_IT_number 148
_space_group_name_Hall '-R 3'
_cell_length_a 11.3906
_cell_length_b 11.3906
_cell_length_c 12.4337
_cell_angle_alpha 90.00
_cell_angle_beta 90.00
_cell_angle_gamma 120.00
loop_
_atom_site_label
_atom_site_type_symbol
_atom_site_fract_x
_atom_site_fract_y
_atom_site_fract_z
K1 K 0.0000 0.0000 0.0000
Dy1 Dy 0.9997 0.1852 0.6213
S1 S 0.0000 0.0000 0.2473
S2 S 0.0056 0.7323 0.5864
# crystal system	trigonal

=====

Record 20
# KDy3S4 (PBE, optimized geometry)
data_KDy3S4
_space_group_name_H-M_alt 'P 63/m m c'
_space_group_IT_number 194
_space_group_name_Hall '-P 6c 2c'
_cell_length_a 3.9713
_cell_length_b 3.9713
_cell_length_c 27.4752
_cell_angle_alpha 90.00
_cell_angle_beta 90.00
_cell_angle_gamma 120.00
loop_
_atom_site_label
_atom_site_type_symbol
_atom_site_fract_x
_atom_site_fract_y
_atom_site_fract_z
K1 K 0.3333 0.6667 0.2500
Dy1 Dy 0.0000 0.0000 0.0000
Dy2 Dy 0.3333 0.6667 0.6148
S1 S 0.0000 0.0000 0.1693
S2 S 0.3333 0.6667 0.0574
# crystal system	hexagonal

=====

Number 1: electronic total energy -4.407 eV per atom. Number 2: electronic total energy -4.422 eV per atom. Number 3: electronic total energy -4.482 eV per atom. Number 4: electronic total energy -6.073 eV per atom. Number 5: electronic total energy -6.071 eV per atom. Number 6: electronic total energy -6.340 eV per atom. Number 7: electronic total energy -6.790 eV per atom. Number 8: electronic total energy -5.628 eV per atom. Number 9: electronic total energy -6.346 eV per atom. Number 10: electronic total energy -5.605 eV per atom. Number 11: electronic total energy -6.734 eV per atom. Number 12: electronic total energy -5.458 eV per atom. Number 13: electronic total energy -5.097 eV per atom. Number 14: electronic total energy -6.433 eV per atom. Number 15: electronic total energy -7.016 eV per atom. Number 16: electronic total energy -5.353 eV per atom. Number 17: electronic total energy -5.378 eV per atom. Number 18: electronic total energy -5.983 eV per atom. Number 19: electronic total energy -5.932 eV per atom. Number 20: electronic total energy -5.857 eV per atom.